This record from Alexandria via LeMat-Bulk describes an optimized crystal structure of LiPuSO6. The functional is PBE.

As for the energy relative to the elements, uncorrected: -1.58 eV per atom. The total magnetization is 3.00 Bohr magnetons per cell. The space group is No. 149.

The structure in POSCAR format:
```
LiPuSO6
1.0
5.197 0.000 0.000
-2.598 4.500 0.000
0.000 0.000 4.711
Li Pu S O
1 1 1 6
Direct
0.000 0.000 0.000
0.333 0.667 0.500
0.667 0.333 0.500
0.401 0.064 0.706
0.401 0.337 0.294
0.663 0.064 0.294
0.663 0.599 0.706
0.936 0.337 0.706
0.936 0.599 0.294
```

=====

This record from Alexandria via LeMat-Bulk describes an optimized crystal structure of Li2PuSbO6. The functional is PBE.

As for the energy relative to the elements, uncorrected: -1.97 eV per atom. The total magnetization is 3.00 Bohr magnetons per cell. The space group is No. 99.

The structure in POSCAR format:
```
Li2PuSbO6
1.0
5.865 0.000 0.000
0.000 5.865 0.000
0.000 0.000 4.059
Li Pu Sb O
2 1 1 6
Direct
0.000 0.500 0.000
0.500 0.000 0.000
0.000 0.000 0.817
0.500 0.500 0.824
0.000 0.000 0.322
0.258 0.258 0.860
0.258 0.742 0.860
0.500 0.500 0.335
0.742 0.258 0.860
0.742 0.742 0.860
```

=====

This record from Alexandria via LeMat-Bulk describes an optimized crystal structure of LiPu2SbO8. The functional is PBE.

As for the energy relative to the elements, uncorrected: -2.24 eV per atom. The total magnetization is 6.00 Bohr magnetons per cell. The space group is No. 65.

The structure in POSCAR format:
```
LiPu2SbO8
1.0
3.423 -3.446 0.000
3.423 3.446 0.000
0.000 0.000 6.807
Li Pu Sb O
1 2 1 8
Direct
0.000 0.000 0.000
0.500 0.500 0.247
0.500 0.500 0.753
0.000 0.000 0.500
0.193 0.193 0.276
0.193 0.193 0.724
0.297 0.703 0.500
0.316 0.684 0.000
0.684 0.316 0.000
0.703 0.297 0.500
0.807 0.807 0.276
0.807 0.807 0.724
```

=====

This record from Alexandria via LeMat-Bulk describes an optimized crystal structure of Li2PuSbO. The functional is PBE.

As for the energy relative to the elements, uncorrected: -1.24 eV per atom. The total magnetization is 11.51 Bohr magnetons per cell. The space group is No. 63.

The structure in POSCAR format:
```
Li2PuSbO
1.0
1.671 -6.314 0.000
1.671 6.314 0.000
0.000 0.000 8.019
Li Pu Sb O
4 2 2 2
Direct
0.148 0.852 0.533
0.148 0.852 0.967
0.852 0.148 0.033
0.852 0.148 0.467
0.480 0.520 0.750
0.520 0.480 0.250
0.254 0.746 0.250
0.746 0.254 0.750
0.000 0.000 0.000
0.000 0.000 0.500
```

=====

This record from Alexandria via LeMat-Bulk describes an optimized crystal structure of Li2PuScO6. The functional is PBE.

As for the energy relative to the elements, uncorrected: -2.55 eV per atom. The total magnetization is 1.00 Bohr magnetons per cell. The space group is No. 146.

The structure in POSCAR format:
```
Li2PuScO6
1.0
2.654 1.532 4.768
-2.654 1.532 4.768
0.000 -3.065 4.768
Li Pu Sc O
2 1 1 6
Direct
0.000 0.000 0.000
0.488 0.488 0.488
0.782 0.782 0.782
0.278 0.278 0.278
0.042 0.407 0.669
0.159 0.888 0.555
0.407 0.669 0.042
0.555 0.159 0.888
0.669 0.042 0.407
0.888 0.555 0.159
```

=====

This record from Alexandria via LeMat-Bulk describes an optimized crystal structure of LiPuScO6. The functional is PBE.

As for the energy relative to the elements, uncorrected: -2.39 eV per atom. The total magnetization is 0.09 Bohr magnetons per cell. The space group is No. 102.

The structure in POSCAR format:
```
LiPuScO6
1.0
4.869 0.000 0.000
0.000 4.869 0.000
0.000 0.000 9.569
Li Pu Sc O
2 2 2 12
Direct
0.000 0.000 0.000
0.500 0.500 0.500
0.000 0.000 0.670
0.500 0.500 0.170
0.000 0.000 0.332
0.500 0.500 0.832
0.183 0.183 0.511
0.192 0.192 0.823
0.212 0.212 0.173
0.288 0.712 0.673
0.308 0.692 0.323
0.317 0.683 0.011
0.683 0.317 0.011
0.692 0.308 0.323
0.712 0.288 0.673
0.788 0.788 0.173
0.808 0.808 0.823
0.817 0.817 0.511
```

=====

This record from Alexandria via LeMat-Bulk describes an optimized crystal structure of Li2PuScO4. The functional is PBE.

As for the energy relative to the elements, uncorrected: -2.69 eV per atom. The total magnetization is 10.00 Bohr magnetons per cell. The space group is No. 119.

The structure in POSCAR format:
```
Li2PuScO4
1.0
4.378 0.000 0.000
0.000 4.378 0.000
0.000 0.000 10.198
Li Pu Sc O
4 2 2 8
Direct
0.000 0.000 0.000
0.000 0.500 0.250
0.500 0.000 0.750
0.500 0.500 0.500
0.000 0.000 0.500
0.500 0.500 0.000
0.000 0.500 0.750
0.500 0.000 0.250
0.000 0.000 0.262
0.000 0.000 0.738
0.000 0.500 0.540
0.000 0.500 0.960
0.500 0.000 0.040
0.500 0.000 0.460
0.500 0.500 0.238
0.500 0.500 0.762
```

=====

This record from Alexandria via LeMat-Bulk describes an optimized crystal structure of Li2PuSc2O6. The functional is PBE.

As for the energy relative to the elements, uncorrected: -2.86 eV per atom. The total magnetization is 4.00 Bohr magnetons per cell. The space group is No. 12.

The structure in POSCAR format:
```
Li2PuSc2O6
1.0
2.802 -4.951 0.000
2.802 4.951 0.000
-1.739 0.000 5.035
Li Pu Sc O
2 1 2 6
Direct
0.206 0.794 0.000
0.794 0.206 0.000
0.000 0.000 0.500
0.334 0.666 0.500
0.666 0.334 0.500
0.052 0.413 0.722
0.267 0.267 0.297
0.413 0.052 0.722
0.587 0.948 0.278
0.733 0.733 0.703
0.948 0.587 0.278
```